No. 1
KCdFe (GGA-PBE, relaxed); DFT formation energy = 1.26 eV/atom; volume = 111.2 Å³ per cell; ΔE to the lowest computed polymorph = 0.6651 eV/atom; space-group type = F-43m (216); crystal system = cubic
1.0
-1.764 0.286 -5.093
0.943 -4.072 -3.415
-4.066 -3.153 -1.628
Fe Cd K
1 1 1
Direct
0.500 0.500 0.500
0.000 0.000 0.000
0.750 0.750 0.750

No. 2
SmGdDyGa (GGA-PBE, relaxed); DFT formation energy = -0.10 eV/atom; volume = 109.4 Å³ per cell; space-group type = F-43m (216); crystal system = cubic
1.0
-5.075 -0.470 1.685
-1.447 -4.192 3.025
-1.183 0.714 5.188
Ga Gd Sm Dy
1 1 1 1
Direct
0.500 0.500 0.500
0.750 0.750 0.750
0.250 0.250 0.250
0.000 0.000 0.000

No. 3
Cs3PmO3 (GGA-PBE, relaxed); volume = 808.8 Å³ per cell; ΔE to the lowest computed polymorph = 0.0000 eV/atom; space-group type = P2_1/c (14); crystal system = monoclinic
1.0
-2.941 6.102 3.794
-7.074 -0.767 -4.250
-3.617 -7.588 9.401
O Cs Pm
12 12 4
Direct
0.044 0.293 0.702
0.051 0.116 0.415
0.551 0.884 0.085
0.456 0.293 0.202
0.139 0.751 0.939
0.956 0.707 0.298
0.861 0.249 0.061
0.449 0.116 0.915
0.949 0.884 0.585
0.639 0.249 0.561
0.361 0.751 0.439
0.544 0.707 0.798
0.129 0.067 0.162
0.371 0.067 0.662
0.323 0.613 0.192
0.150 0.345 0.923
0.350 0.345 0.423
0.871 0.933 0.838
0.650 0.655 0.577
0.823 0.387 0.308
0.177 0.613 0.692
0.850 0.655 0.077
0.629 0.933 0.338
0.677 0.387 0.808
0.905 0.157 0.573
0.405 0.843 0.927
0.595 0.157 0.073
0.095 0.843 0.427